First-principles (SCAN) data for TaIrCl3 at its PBEsol-relaxed geometry, as listed in Alexandria via LeMat-Bulk.

- Formation energy (no corrections): 0.68 eV per atom
- Crystal system: cubic
- SG: No. 221
- Energy above the lowest structure with this stoichiometry: 0 meV per atom
- VASP energy: -31.648 eV per atom

Cell and atoms, written as POSCAR:
```
TaIrCl3
1.0
-1.511 -4.155 -1.705
4.044 -2.041 1.390
-1.953 -1.012 4.197
Cl Ir Ta
3 1 1
direct
0.000 0.500 0.000
0.000 0.000 0.500
0.500 0.000 0.000
0.500 0.500 0.500
0.000 0.000 0.000
```